Compound: LaYTi2O6
Source: Alexandria
Functional: PBEsol
Structure: optimized geometry

Unit cell a=7.721 b=5.374 c=5.625 alpha=90.00 beta=90.00 gamma=90.00
Space group Pmc2_1 (No. 26)
Asymmetric unit:
La 0.000 0.237 0.000 [2 per cell]
Y 0.500 0.260 0.125 [2 per cell]
Ti 0.255 0.250 0.556 [4 per cell]
O 0.000 0.314 0.565 [2 per cell]
O 0.216 0.055 0.255 [4 per cell]
O 0.307 0.448 0.853 [4 per cell]
O 0.500 0.139 0.514 [2 per cell]

Calculated values
ρ ... 5.97 Mg/m³
DOS at the Fermi energy ... 9.19 states/eV per cell
E_form (uncorrected) ... -3.2694 eV/atom